First-principles (GGA-PBE) data for RbZrPbF7 after structural relaxation, as listed in OQMD.

Structure (extended XYZ):
```
20
Lattice="3.510 -5.553 0.000 3.510 5.553 0.000 0.000 0.000 8.522" Properties=species:S:1:pos:R:3 pbc="T T T"
Pb 3.510 -3.565 2.130
Pb 3.510 3.565 6.391
F 3.510 5.206 2.130
F 3.510 2.913 0.139
F 2.321 1.427 2.130
F 4.699 -1.427 6.391
F 5.034 1.668 6.391
F 1.987 -1.668 2.130
F 4.699 1.427 2.130
F 3.510 -2.913 4.400
F 5.034 -1.668 2.130
F 3.510 2.913 4.122
F 3.510 -5.206 6.391
F 1.987 1.668 6.391
F 2.321 -1.427 6.391
F 3.510 -2.913 8.383
Zr 3.510 -3.187 6.391
Zr 3.510 3.187 2.130
Rb 3.510 0.000 0.000
Rb 3.510 0.000 4.261
```

**Energy**: -5.74 eV per atom
**M_tot**: 0.00 μB per formula unit